[1]
The following is a DFT calculation (PBE) of crystalline ReSiCl2 at its relaxed geometry.

Cell and atoms, written as CIF:
```
data_ReSiCl2
_space_group_name_H-M_alt 'P 1'
_space_group_IT_number 1
_space_group_name_Hall 'P 1'
_cell_length_a 2.973
_cell_length_b 2.973
_cell_length_c 32.841
_cell_angle_alpha 90.00
_cell_angle_beta 90.00
_cell_angle_gamma 120.00
loop_
_atom_site_label
_atom_site_fract_x
_atom_site_fract_y
_atom_site_fract_z
Re1 0.000 0.000 0.000
Re2 0.333 0.667 0.667
Re3 0.667 0.333 0.333
Si1 0.000 0.000 0.500
Si2 0.333 0.667 0.167
Si3 0.667 0.333 0.833
Cl1 0.000 0.000 0.389
Cl2 0.000 0.000 0.611
Cl3 0.333 0.667 0.055
Cl4 0.333 0.667 0.278
Cl5 0.667 0.333 0.722
Cl6 0.667 0.333 0.945
```

- Magnetic moment: 0.00 μB per atom
- Raw total energy: -56.84 eV/cell
- Crystal system: trigonal
- Space group: R-3m (166)
- Formation energy (no corrections): 0.65 eV/atom

=====

[2]
The following is a DFT calculation (PBE) of crystalline ReSi2Cl at its relaxed geometry.

Cell and atoms, written as CIF:
```
data_ReSi2Cl
_space_group_name_H-M_alt 'P 1'
_space_group_IT_number 1
_space_group_name_Hall 'P 1'
_cell_length_a 3.137
_cell_length_b 3.137
_cell_length_c 22.615
_cell_angle_alpha 90.00
_cell_angle_beta 90.00
_cell_angle_gamma 120.00
loop_
_atom_site_label
_atom_site_fract_x
_atom_site_fract_y
_atom_site_fract_z
Re1 0.000 0.000 0.000
Re2 0.333 0.667 0.667
Re3 0.667 0.333 0.333
Si1 0.000 0.000 0.258
Si2 0.000 0.000 0.742
Si3 0.333 0.667 0.408
Si4 0.333 0.667 0.925
Si5 0.667 0.333 0.075
Si6 0.667 0.333 0.592
Cl1 0.000 0.000 0.500
Cl2 0.333 0.667 0.167
Cl3 0.667 0.333 0.833
```

- Magnetic moment: 0.00 μB per atom
- Raw total energy: -74.06 eV/cell
- Crystal system: trigonal
- Space group: R-3m (166)
- Formation energy (no corrections): 0.11 eV/atom

=====

[3]
The following is a DFT calculation (PBE) of crystalline ReSiCl2 at its relaxed geometry.

Cell and atoms, written as CIF:
```
data_ReSiCl2
_space_group_name_H-M_alt 'P 1'
_space_group_IT_number 1
_space_group_name_Hall 'P 1'
_cell_length_a 5.676
_cell_length_b 8.889
_cell_length_c 3.231
_cell_angle_alpha 90.00
_cell_angle_beta 124.52
_cell_angle_gamma 90.00
loop_
_atom_site_label
_atom_site_fract_x
_atom_site_fract_y
_atom_site_fract_z
Re1 0.000 0.000 0.000
Re2 0.500 0.500 0.000
Si1 0.000 0.500 0.000
Si2 0.500 0.000 0.000
Cl1 0.250 0.250 0.500
Cl2 0.250 0.750 0.500
Cl3 0.750 0.250 0.500
Cl4 0.750 0.750 0.500
```

- Magnetic moment: 0.40 μB per atom
- Raw total energy: -36.58 eV/cell
- Crystal system: monoclinic
- Space group: C2/m (12)
- Formation energy (no corrections): 0.82 eV/atom